(1)
Computed, not measured: a relaxed ScTaAg2 crystal at the PBEsol level of DFT.

Output
Its space-group type is No. 123. As for the formation enthalpy at 0 K: 0.098 eV per atom. For the total magnetic moment, the calculation gives 0.0 μB/f.u.

a = 2.891 Å, b = 2.891 Å, c = 8.437 Å
α = 90.00°, β = 90.00°, γ = 90.00°
Positions (direct):
Ta 0.500 0.500 0.500
Ag 0.000 0.000 0.254
Sc 0.500 0.500 0.000
Ag 0.000 0.000 0.746

---

(2)
Computed, not measured: a relaxed Sc2TcAg crystal at the PBEsol level of DFT.

Output
Its space-group type is No. 225. As for the formation enthalpy at 0 K: -0.229 eV per atom. For the total magnetic moment, the calculation gives 0.0 μB/f.u.

a = 4.616 Å, b = 4.616 Å, c = 4.616 Å
α = 60.00°, β = 60.00°, γ = 60.00°
Positions (direct):
Sc 0.250 0.250 0.250
Ag 0.000 0.000 0.000
Sc 0.750 0.750 0.750
Tc 0.500 0.500 0.500

---

(3)
Computed, not measured: a relaxed Sc2TcAg crystal at the PBEsol level of DFT.

Output
Its space-group type is No. 25. As for the formation enthalpy at 0 K: 0.044 eV per atom. For the total magnetic moment, the calculation gives 0.0 μB/f.u.

a = 3.108 Å, b = 4.132 Å, c = 5.680 Å
α = 90.00°, β = 90.00°, γ = 90.00°
Positions (direct):
Sc 0.500 0.500 0.304
Sc 0.000 0.000 0.972
Tc 0.000 0.000 0.454
Ag 0.500 0.500 0.771

---

(4)
Computed, not measured: a relaxed Sc2TcAg crystal at the PBEsol level of DFT.

Output
Its space-group type is No. 123. As for the formation enthalpy at 0 K: -0.294 eV per atom. For the total magnetic moment, the calculation gives 0.0 μB/f.u.

a = 3.256 Å, b = 3.256 Å, c = 6.700 Å
α = 90.00°, β = 90.00°, γ = 90.00°
Positions (direct):
Tc 0.500 0.500 0.000
Ag 0.500 0.500 0.500
Sc 0.000 0.000 0.224
Sc 0.000 0.000 0.776

---

| no. | E above lowest polymorph (meV/atom) | mass density (Mg/m³) | DOS at the Fermi energy (states/eV/f.u.) |
| --- | --- | --- | --- |
| 1 | 0 | 10.398 | 3.26 |
| 2 | 65 | 7.063 | 2.16 |
| 3 | 338 | 6.733 | 2.25 |
| 4 | 0 | 6.914 | 3.16 |